# 1
Dy3Tm4Te2Pd2 after structural relaxation. Source: OQMD via LeMat-Bulk, functional PBE.

Calculated values
VASP energy in eV per atom: -5.248

a b c (Å): 9.375 9.375 9.375
angles (deg): 155.92 66.98 118.56
Fractional coordinates of all 11 atoms:
Dy (0.000, 0.000, 0.000)
Dy (0.453, 0.582, 0.871)
Dy (0.711, 0.582, 0.129)
Tm (0.058, 0.375, 0.683)
Tm (0.090, 0.734, 0.355)
Tm (0.379, 0.734, 0.645)
Tm (0.692, 0.375, 0.317)
Te (0.334, 0.334, 0.000)
Te (0.737, 0.237, 0.500)
Pd (0.306, 0.070, 0.236)
Pd (0.834, 0.070, 0.764)

---

# 2
DyY2Tm4Te2Pd2 after structural relaxation. Source: OQMD via LeMat-Bulk, functional PBE.

Calculated values
VASP energy in eV per atom: -5.594

a b c (Å): 9.361 9.361 9.361
angles (deg): 155.77 66.89 118.72
Fractional coordinates of all 11 atoms:
Dy (0.000, 0.000, 0.000)
Y (0.617, 0.261, 0.356)
Y (0.905, 0.261, 0.644)
Tm (0.285, 0.414, 0.871)
Tm (0.306, 0.623, 0.682)
Tm (0.544, 0.414, 0.129)
Tm (0.941, 0.623, 0.318)
Te (0.265, 0.765, 0.500)
Te (0.660, 0.660, 0.000)
Pd (0.171, 0.932, 0.240)
Pd (0.692, 0.932, 0.760)

---

# 3
Dy2YTm4Te2Pd2 after structural relaxation. Source: OQMD via LeMat-Bulk, functional PBE.

Calculated values
VASP energy in eV per atom: -5.425

a b c (Å): 9.365 9.365 9.365
angles (deg): 155.82 66.81 118.79
Fractional coordinates of all 11 atoms:
Dy (0.145, 0.000, 0.145)
Dy (0.855, 0.000, 0.855)
Y (0.238, 0.738, 0.500)
Tm (0.179, 0.362, 0.817)
Tm (0.523, 0.153, 0.371)
Tm (0.544, 0.362, 0.183)
Tm (0.782, 0.153, 0.629)
Te (0.503, 0.503, 0.000)
Te (0.898, 0.398, 0.500)
Pd (0.407, 0.668, 0.739)
Pd (0.929, 0.668, 0.261)

---

# 4
Dy5Y2Te2Pd2 after structural relaxation. Source: OQMD via LeMat-Bulk, functional PBE.

Calculated values
VASP energy in eV per atom: -5.631

a b c (Å): 9.458 9.458 9.458
angles (deg): 155.95 66.81 118.73
Fractional coordinates of all 11 atoms:
Dy (0.000, 0.000, 0.000)
Dy (0.288, 0.416, 0.872)
Dy (0.305, 0.623, 0.682)
Dy (0.544, 0.416, 0.128)
Dy (0.940, 0.623, 0.318)
Y (0.620, 0.263, 0.357)
Y (0.906, 0.263, 0.643)
Te (0.263, 0.763, 0.500)
Te (0.663, 0.663, 0.000)
Pd (0.168, 0.929, 0.239)
Pd (0.691, 0.929, 0.761)

---

# 5
DyThPd after structural relaxation. Source: OQMD via LeMat-Bulk, functional PBE.

Calculated values
E_form in eV per atom: -0.2955
Energy above the most stable polymorph in this dataset in eV/atom: 0.000

a b c (Å): 4.948 4.948 4.948
angles (deg): 60.00 60.00 60.00
Fractional coordinates of all 3 atoms:
Dy (0.000, 0.000, 0.000)
Th (0.500, 0.500, 0.500)
Pd (0.250, 0.250, 0.250)

---

# 6
Dy2Tl8Pd after structural relaxation. Source: OQMD via LeMat-Bulk, functional PBE.

Calculated values
VASP energy in eV per atom: -3.218

a b c (Å): 4.832 4.832 12.442
angles (deg): 90.00 90.00 90.00
Fractional coordinates of all 11 atoms:
Dy (0.000, 0.000, 0.190)
Dy (0.000, 0.000, 0.810)
Tl (0.000, 0.500, 0.000)
Tl (0.000, 0.500, 0.372)
Tl (0.000, 0.500, 0.628)
Tl (0.500, 0.000, 0.000)
Tl (0.500, 0.000, 0.372)
Tl (0.500, 0.000, 0.628)
Tl (0.500, 0.500, 0.185)
Tl (0.500, 0.500, 0.815)
Pd (0.000, 0.000, 0.500)

---

# 7
DyTlPd after structural relaxation. Source: OQMD via LeMat-Bulk, functional PBE.

Calculated values
VASP energy in eV per atom: -4.128

a b c (Å): 4.838 4.838 4.838
angles (deg): 60.00 60.00 60.00
Fractional coordinates of all 3 atoms:
Dy (0.000, 0.000, 0.000)
Tl (0.250, 0.250, 0.250)
Pd (0.750, 0.750, 0.750)

---

# 8
Dy6TlPd2 after structural relaxation. Source: OQMD via LeMat-Bulk, functional PBE.

Calculated values
VASP energy in eV per atom: -4.996

a b c (Å): 8.577 8.577 8.577
angles (deg): 113.14 110.06 105.31
Fractional coordinates of all 18 atoms:
Dy (0.036, 0.236, 0.800)
Dy (0.183, 0.290, 0.474)
Dy (0.183, 0.710, 0.893)
Dy (0.327, 0.026, 0.699)
Dy (0.327, 0.628, 0.301)
Dy (0.437, 0.236, 0.200)
Dy (0.563, 0.764, 0.800)
Dy (0.673, 0.372, 0.699)
Dy (0.673, 0.974, 0.301)
Dy (0.817, 0.290, 0.107)
Dy (0.817, 0.710, 0.526)
Dy (0.964, 0.764, 0.200)
Tl (0.000, 0.000, 0.000)
Tl (0.500, 0.500, 0.000)
Pd (0.133, 0.633, 0.500)
Pd (0.347, 0.000, 0.347)
Pd (0.653, 0.000, 0.653)
Pd (0.867, 0.367, 0.500)

---

# 9
DyTlPd after structural relaxation. Source: OQMD via LeMat-Bulk, functional PBE.

Calculated values
VASP energy in eV per atom: -4.571

a b c (Å): 4.750 4.750 4.750
angles (deg): 60.00 60.00 60.00
Fractional coordinates of all 3 atoms:
Dy (0.000, 0.000, 0.000)
Tl (0.500, 0.500, 0.500)
Pd (0.250, 0.250, 0.250)

---

# 10
DyTlPd after structural relaxation. Source: OQMD via LeMat-Bulk, functional PBE.

Calculated values
VASP energy in eV per atom: -4.663

a b c (Å): 7.053 4.464 8.626
angles (deg): 90.00 90.00 90.00
Fractional coordinates of all 12 atoms:
Dy (0.040, 0.250, 0.185)
Dy (0.460, 0.750, 0.685)
Dy (0.540, 0.250, 0.315)
Dy (0.960, 0.750, 0.815)
Tl (0.153, 0.250, 0.558)
Tl (0.347, 0.750, 0.058)
Tl (0.653, 0.250, 0.942)
Tl (0.847, 0.750, 0.442)
Pd (0.234, 0.250, 0.875)
Pd (0.266, 0.750, 0.375)
Pd (0.734, 0.250, 0.625)
Pd (0.766, 0.750, 0.125)

---

# 11
DyYTlPd2 after structural relaxation. Source: OQMD via LeMat-Bulk, functional PBE.

Calculated values
VASP energy in eV per atom: -5.526

a b c (Å): 3.667 7.818 7.818
angles (deg): 30.65 90.00 90.00
Fractional coordinates of all 5 atoms:
Dy (0.000, 0.000, 0.000)
Y (0.000, 0.268, 0.268)
Tl (0.500, 0.635, 0.635)
Pd (0.500, 0.445, 0.445)
Pd (0.500, 0.826, 0.826)

---

# 12
Dy3TmPd4 after structural relaxation. Source: OQMD via LeMat-Bulk, functional PBE.

Calculated values
E_form in eV per atom: -0.9340

a b c (Å): 5.661 4.459 6.902
angles (deg): 90.00 90.27 90.00
Fractional coordinates of all 8 atoms:
Dy (0.000, 0.000, 0.000)
Dy (0.215, 0.000, 0.499)
Dy (0.502, 0.500, 0.863)
Tm (0.716, 0.500, 0.363)
Pd (0.012, 0.500, 0.722)
Pd (0.203, 0.500, 0.225)
Pd (0.516, 0.000, 0.144)
Pd (0.703, 0.000, 0.634)